(1)
## VCo2Ir (GGA-PBE)

Data for VCo2Ir after structural relaxation.

Properties
For the density of states at the Fermi level, the calculation gives 3.1 states/eV per cell. The total energy comes out at -8.3376 eV per atom. The value obtained for the size of the total moment is 0.0 μB per cell. The energy above the most stable polymorph in this dataset is 0 meV/atom.

Cell lengths 3.628, 3.628, 3.657 Å; angles 90.00, 90.00, 90.00 degrees
Space group P4/mmm (No. 123)
Symmetry-distinct sites (fractional):
V 0.000 0.000 0.000 [1 per cell]
Co 0.000 0.500 0.500 [2 per cell]
Ir 0.500 0.500 0.000 [1 per cell]

***

(2)
## LaNdTm3Sc (GGA-PBE)

Data for LaNdTm3Sc after structural relaxation.

Properties
For the density of states at the Fermi level, the calculation gives 39.7 states/eV per cell. The total energy comes out at -4.8555 eV per atom. The value obtained for the size of the total moment is 0.0 μB per cell.

Cell lengths 5.008, 14.909, 10.009 Å; angles 90.00, 90.00, 90.00 degrees
Space group Cmcm (No. 63)
Symmetry-distinct sites (fractional):
La 0.000 0.002 0.250 [4 per cell]
Nd 0.000 0.500 0.000 [4 per cell]
Tm 0.000 0.170 0.501 [8 per cell]
Tm 0.000 0.328 0.250 [4 per cell]
Sc 0.000 0.329 0.750 [4 per cell]

***

Number 1: formation enthalpy at 0 K -0.290 eV per atom. Number 2: formation enthalpy at 0 K 0.051 eV per atom.